(1)
The following is a GGA-PBE calculation of an optimized crystal structure of ZrAlAu2, from Alexandria via LeMat-Bulk.

Output
The value obtained for the energy of formation is -0.42 eV per atom. The volume comes out at 18.75 A^3/atom. The value obtained for the density is 11.3 Mg/m³. The total magnetization is 0.00 μB/f.u.

a b c (Å): 3.051 4.121 6.143
angles (deg): 90.00 103.81 90.00
Space group P2/m (No. 10)
Symmetry-distinct sites (fractional):
Zr: 0.000 0.000 0.000
Al: 0.000 0.000 0.500
Au: 0.385 0.500 0.741

=====

(2)
The following is a GGA-PBE calculation of an optimized crystal structure of Zr2Al5Au3, from Alexandria via LeMat-Bulk.

Output
The value obtained for the energy of formation is -0.53 eV per atom. The volume comes out at 17.93 A^3/atom. The value obtained for the density is 8.4 Mg/m³. The total magnetization is 0.00 μB/f.u.

a b c (Å): 4.284 24.661 6.788
angles (deg): 90.00 90.00 90.00
Space group Cmc2_1 (No. 36)
Symmetry-distinct sites (fractional):
Zr: 0.000 0.017 0.000
Zr: 0.000 0.325 0.003
Al: 0.000 0.104 0.345
Al: 0.000 0.208 0.808
Al: 0.000 0.210 0.227
Al: 0.000 0.382 0.499
Al: 0.000 0.450 0.180
Au: 0.000 0.107 0.740
Au: 0.000 0.277 0.521
Au: 0.000 0.449 0.794

=====

(3)
The following is a GGA-PBE calculation of an optimized crystal structure of Zr3Al4Au2, from Alexandria via LeMat-Bulk.

Output
The value obtained for the energy of formation is -0.58 eV per atom. The volume comes out at 18.56 A^3/atom. The value obtained for the density is 7.7 Mg/m³. The total magnetization is 0.00 μB/f.u.

a b c (Å): 10.057 4.463 8.397
angles (deg): 90.00 117.61 90.00
Space group C2/m (No. 12)
Symmetry-distinct sites (fractional):
Zr: 0.000 0.000 0.000
Zr: 0.155 0.500 0.678
Al: 0.072 0.000 0.402
Al: 0.225 0.500 0.059
Au: 0.128 0.500 0.291

=====

(4)
The following is a GGA-PBE calculation of an optimized crystal structure of Zr3Al3Au, from Alexandria via LeMat-Bulk.

Output
The value obtained for the energy of formation is -0.49 eV per atom. The volume comes out at 19.45 A^3/atom. The value obtained for the density is 6.7 Mg/m³. The total magnetization is 0.00 μB/f.u.

a b c (Å): 3.818 10.501 13.586
angles (deg): 90.00 90.00 90.00
Space group Cmcm (No. 63)
Symmetry-distinct sites (fractional):
Zr: 0.000 0.001 0.250
Zr: 0.000 0.298 0.598
Al: 0.000 0.270 0.250
Al: 0.000 0.416 0.101
Au: 0.000 0.000 0.000

=====

(5)
The following is a GGA-PBE calculation of an optimized crystal structure of ZrAlAu2, from Alexandria via LeMat-Bulk.

Output
The value obtained for the energy of formation is -0.22 eV per atom. The volume comes out at 19.33 A^3/atom. The value obtained for the density is 11.0 Mg/m³. The total magnetization is 0.00 μB/f.u.

a b c (Å): 3.1715 3.1715 26.6360
angles (deg): 90.00 90.00 120.00
Space group R3m (No. 160, hexagonal axes)
Symmetry-distinct sites (fractional):
Zr: 0.0000 0.0000 0.0000
Al: 0.0000 0.0000 0.7563
Au: 0.0000 0.0000 0.2486
Au: 0.0000 0.0000 0.4949

=====

(6)
The following is a GGA-PBE calculation of an optimized crystal structure of ZrAlAu2, from Alexandria via LeMat-Bulk.

Output
The value obtained for the energy of formation is -0.38 eV per atom. The volume comes out at 18.27 A^3/atom. The value obtained for the density is 11.6 Mg/m³. The total magnetization is 0.00 μB/f.u.

a b c (Å): 6.637 6.637 6.637
angles (deg): 90.00 90.00 90.00
Space group F-43m (No. 216)
Symmetry-distinct sites (fractional):
Zr: 0.000 0.000 0.000
Al: 0.250 0.250 0.750
Au: 0.000 0.000 0.500
Au: 0.250 0.250 0.250